Material: LiMnPO4
Method: DFT, PBE with a Hubbard U
State: optimized geometry

Results
As for the space-group type: R-3. The value obtained for the raw total energy is -7.111 eV per atom.

Cell: 8.5539 8.5539 8.5539 Å, 34.61 34.61 34.61°
Element x y z (fractional)
Li: 0.1393 0.1393 0.1393
Li: 0.8607 0.8607 0.8607
Mn: 0.2741 0.2741 0.2741
Mn: 0.7259 0.7259 0.7259
P: 0.4212 0.4212 0.4212
P: 0.5788 0.5788 0.5788
O: 0.1431 0.7243 0.4575
O: 0.2757 0.5425 0.8569
O: 0.3572 0.3572 0.3572
O: 0.4575 0.1431 0.7243
O: 0.5425 0.8569 0.2757
O: 0.6428 0.6428 0.6428
O: 0.7243 0.4575 0.1431
O: 0.8569 0.2757 0.5425